No. 1
Computed, not measured: a relaxed TlCrMo crystal at the PBEsol level of DFT.

Its density is 11.5 g/cm³. The total moment comes out at 0.00 μB/atom. For the energy relative to the lowest polymorph listed for this composition, the calculation gives 0.00 kJ per mole of atoms. Its density of states at the Fermi level is 9.15 states/eV/cell. Its calculated formation energy is 62 kJ per mole of atoms.

It has space group Fmm2 (No. 42), with a = 3.083 Å, b = 4.917 Å, c = 13.425 Å, α = 90.00°, β = 90.00° and γ = 90.00°. The inequivalent atoms are Tl at (0.000, 0.000, 0.000), Cr at (0.000, 0.000, 0.322) and Mo at (0.000, 0.000, 0.691).

---

No. 2
Computed, not measured: a relaxed TlCr2Mo crystal at the PBEsol level of DFT.

Its density is 11.5 g/cm³. The total moment comes out at 0.00 μB/atom. For the energy relative to the lowest polymorph listed for this composition, the calculation gives 13.01 kJ per mole of atoms. Its density of states at the Fermi level is 8.34 states/eV/cell. Its calculated formation energy is 56 kJ per mole of atoms.

It has space group Imm2 (No. 44), with a = 3.055 Å, b = 4.365 Å, c = 8.762 Å, α = 90.00°, β = 90.00° and γ = 90.00°. The inequivalent atoms are Tl at (0.000, 0.000, 0.000), Cr at (0.000, 0.000, 0.471), Cr at (0.000, 0.500, 0.765) and Mo at (0.000, 0.500, 0.222).

---

No. 3
Computed, not measured: a relaxed CrMo2W crystal at the PBEsol level of DFT.

Its density is 12.3 g/cm³. The total moment comes out at 0.00 μB/atom. For the energy relative to the lowest polymorph listed for this composition, the calculation gives 0.00 kJ per mole of atoms. Its density of states at the Fermi level is 9.11 states/eV/cell. Its calculated formation energy is 5 kJ per mole of atoms.

It has space group F-43m (No. 216), with a = 6.131 Å, b = 6.131 Å, c = 6.131 Å, α = 90.00°, β = 90.00° and γ = 90.00°. The inequivalent atoms are Cr at (0.000, 0.000, 0.000), Mo at (0.000, 0.000, 0.500), Mo at (0.250, 0.250, 0.750) and W at (0.250, 0.250, 0.250).

---

No. 4
Computed, not measured: a relaxed CrMoW2 crystal at the PBEsol level of DFT.

Its density is 14.7 g/cm³. The total moment comes out at 0.00 μB/atom. For the energy relative to the lowest polymorph listed for this composition, the calculation gives 1.96 kJ per mole of atoms. Its density of states at the Fermi level is 4.62 states/eV/cell. Its calculated formation energy is 6 kJ per mole of atoms.

It has space group Cm (No. 8), with a = 9.197 Å, b = 4.357 Å, c = 3.080 Å, α = 90.00°, β = 109.48° and γ = 90.00°. The inequivalent atoms are Cr at (0.000, 0.000, 0.000), Mo at (0.253, 0.500, 0.253), W at (0.001, 0.500, 0.501) and W at (0.246, 0.000, 0.746).

---

No. 5
Computed, not measured: a relaxed CrMo2W crystal at the PBEsol level of DFT.

Its density is 12.3 g/cm³. The total moment comes out at 0.00 μB/atom. For the energy relative to the lowest polymorph listed for this composition, the calculation gives 1.67 kJ per mole of atoms. Its density of states at the Fermi level is 9.44 states/eV/cell. Its calculated formation energy is 7 kJ per mole of atoms.

It has space group Fm-3m (No. 225), with a = 6.139 Å, b = 6.139 Å, c = 6.139 Å, α = 90.00°, β = 90.00° and γ = 90.00°. The inequivalent atoms are Cr at (0.000, 0.000, 0.000), Mo at (0.250, 0.250, 0.250) and W at (0.000, 0.000, 0.500).

---

No. 6
Computed, not measured: a relaxed CrMoW2 crystal at the PBEsol level of DFT.

Its density is 14.6 g/cm³. The total moment comes out at 0.00 μB/atom. For the energy relative to the lowest polymorph listed for this composition, the calculation gives 4.12 kJ per mole of atoms. Its density of states at the Fermi level is 5.25 states/eV/cell. Its calculated formation energy is 8 kJ per mole of atoms.

It has space group C2/m (No. 12), with a = 5.341 Å, b = 8.655 Å, c = 2.690 Å, α = 90.00°, β = 109.84° and γ = 90.00°. The inequivalent atoms are Cr at (0.000, 0.000, 0.000), Mo at (0.000, 0.500, 0.000) and W at (0.250, 0.250, 0.500).